Computed, not measured: a relaxed structure of Ba4BiTe2Br at the PBE level of DFT.

Cell: 8.6956 8.6956 8.6956 Å, 132.06 132.06 70.13°
Fractional positions:
Ba 0.0000 0.5000 0.5000
Ba 0.2428 0.2428 0.0000
Ba 0.5000 0.0000 0.5000
Ba 0.7572 0.7572 0.0000
Bi 0.0000 0.0000 0.0000
Te 0.2500 0.7500 0.5000
Te 0.7500 0.2500 0.5000
Br 0.5000 0.5000 0.0000

Summary:
* crystal system: tetragonal
* formation energy without anion corrections: -155.6 kJ per mole of atoms
* symmetry: I4/mmm, No. 139